A geometry-optimized Fe2NiP2O8 structure, computed with PBE+U.

POSCAR file:
```
Fe2NiP2O8
1.0
6.1041 0.0000 0.0000
0.0000 4.7704 0.0000
-0.0554 0.0000 10.5223
Fe Ni P O
4 2 4 16
direct
0.2368 0.0214 0.2821
0.2368 0.4786 0.7821
0.7632 0.5214 0.2179
0.7632 0.9786 0.7179
0.5000 0.0000 0.0000
0.5000 0.5000 0.5000
0.2636 0.5744 0.0978
0.2636 0.9256 0.5978
0.7364 0.0744 0.4022
0.7364 0.4256 0.9022
0.0717 0.6820 0.1802
0.0717 0.8180 0.6802
0.2576 0.6931 0.9605
0.2576 0.8069 0.4605
0.2814 0.2475 0.6025
0.2814 0.2525 0.1025
0.4722 0.7283 0.1585
0.4722 0.7717 0.6585
0.5278 0.2283 0.3415
0.5278 0.2717 0.8415
0.7186 0.7475 0.8975
0.7186 0.7525 0.3975
0.7424 0.1931 0.5395
0.7424 0.3069 0.0395
0.9283 0.1820 0.3198
0.9283 0.3180 0.8198
```

Values from the calculation:
Space-group type: P2_1/c (14)
E above lowest polymorph: 0 meV per atom

=====

A geometry-optimized Co2SiO4 structure, computed with PBE+U.

POSCAR file:
```
Co2SiO4
1.0
4.8257 0.0000 0.0000
-0.0076 6.0612 0.0000
-0.0153 -0.0074 10.3927
Co Si O
8 4 16
direct
0.0000 0.0000 0.0000
0.0008 0.4993 0.0000
0.0068 0.7467 0.7251
0.4919 0.7497 0.2225
0.4985 0.4983 0.4992
0.4998 0.9981 0.5004
0.5063 0.2479 0.7746
0.9929 0.2474 0.2754
0.0725 0.2485 0.5940
0.4277 0.2502 0.0949
0.5742 0.7494 0.9058
0.9264 0.7481 0.4066
0.2139 0.2492 0.4472
0.2187 0.4658 0.6634
0.2210 0.0318 0.6628
0.2339 0.7494 0.9079
0.2660 0.7490 0.4078
0.2793 0.0331 0.1635
0.2825 0.4666 0.1652
0.2857 0.2511 0.9480
0.7168 0.7492 0.0526
0.7188 0.9676 0.8372
0.7220 0.5327 0.8370
0.7324 0.2486 0.5926
0.7679 0.2491 0.0932
0.7788 0.5317 0.3368
0.7786 0.9655 0.3383
0.7843 0.7477 0.5533
```

Values from the calculation:
Space-group type: P1 (1)
E above lowest polymorph: 0 meV per atom